This record from OQMD via LeMat-Bulk describes a relaxed structure of RbHfCuSe3. The functional is PBE-GGA.

Cell lengths 8.6767, 3.9126, 10.2424 Å; angles 90.00, 114.20, 90.00 degrees
Last column: nearest neighbours and their distance in Å.
Space group P2_1/m (No. 11)
One atom of each set of equivalent atoms:
Rb (0.2453, 0.2500, 0.2145) x2  6 Se 3.43-3.48
Hf (0.1909, 0.7500, 0.6664) x2  6 Se 2.62-2.77
Cu (0.4169, 0.2500, 0.8996) x2  4 Se 2.45-2.56
Se (0.0431, 0.7500, 0.3703) x2  3 Hf 2.73-2.77
Se (0.2658, 0.7500, 0.9414) x2  3 Cu 2.49-2.56, 1 Hf 2.62
Se (0.3960, 0.2500, 0.6542) x2  1 Cu 2.45, 2 Hf 2.68

***

This record from OQMD via LeMat-Bulk describes a relaxed structure of YCoReSn. The functional is PBE-GGA.

Cell lengths 6.6555, 6.6555, 6.6555 Å; angles 90.00, 90.00, 90.00 degrees
Last column: nearest neighbours and their distance in Å.
Space group F-43m (No. 216)
One atom of each set of equivalent atoms:
Y (0.0000, 0.0000, 0.0000) x4  4 Sn 2.88, 4 Re 2.88
Co (0.0000, 0.0000, 0.5000) x4  4 Sn 2.88, 4 Re 2.88
Re (0.2500, 0.2500, 0.7500) x4  4 Co 2.88, 4 Y 2.88
Sn (0.2500, 0.2500, 0.2500) x4  4 Co 2.88, 4 Y 2.88

***

This record from OQMD via LeMat-Bulk describes a relaxed structure of Nb2AgO6. The functional is PBE-GGA.

Cell lengths 4.8443, 4.8837, 10.5751 Å; angles 90.00, 115.60, 90.00 degrees
Last column: nearest neighbours and their distance in Å.
Space group P2_1/c (No. 14)
One atom of each set of equivalent atoms:
Nb (0.1746, 0.0004, 0.1694) x4  6 O 1.90-2.10
Ag (0.5000, 0.0000, 0.5000) x2  4 O 2.17-2.19
O (0.0910, 0.2481, 0.8000) x4  2 Nb 1.90-2.02
O (0.1862, 0.6805, 0.5036) x4  2 Nb 1.99-2.10, 1 Ag 2.19
O (0.4681, 0.1784, 0.6808) x4  2 Nb 1.97-2.09, 1 Ag 2.17

***

In μB per formula unit, the magnetization values for the records above are, in order, 0.002; 3.460; 0.021.
In eV/cell, the DFT total energy values for the records above are, in order, -63.6; -111.7; -140.0.